Compound: PuMgRh2
Source: Alexandria via LeMat-Bulk
Functional: PBE-GGA
Structure: optimized geometry

Lattice parameters (Å, degrees): 5.988 6.946 3.444 90.00 97.77 90.00
Space group C2/m (No. 12)
Unique sites:
Pu (0.000, 0.000, 0.000) x2
Mg (0.000, 0.500, 0.000) x2
Rh (0.250, 0.250, 0.500) x4

Output
Fermi-level density of states (states/eV per cell): 16.13
E_form (eV/atom): -0.04

=====

Compound: PuMgRh
Source: Alexandria via LeMat-Bulk
Functional: PBE-GGA
Structure: optimized geometry

Lattice parameters (Å, degrees): 10.473 3.238 7.060 90.00 104.29 90.00
Space group C2/m (No. 12)
Unique sites:
Pu (0.155, 0.000, 0.067) x4
Mg (0.145, 0.000, 0.568) x4
Rh (0.011, 0.500, 0.269) x4

Output
Fermi-level density of states (states/eV per cell): 29.10
E_form (eV/atom): -0.30